A relaxed CrCd2Cu crystal. Source: Alexandria, functional GGA-PBE.

a = 6.840 Å, b = 4.705 Å, c = 3.261 Å
α = 89.91°, β = 61.67°, γ = 124.22°
Atoms (fractional coordinates):
Cd 0.500 0.000 0.500
Cd 0.000 0.000 0.000
Cu 0.500 0.500 0.000
Cr 0.000 0.500 0.500

**Volume**: 17.75 Å³ per atom
**ΔE_f**: 125 kJ/mol of formula units


A relaxed CrCd2Cu crystal. Source: Alexandria, functional GGA-PBE.

a = 4.175 Å, b = 4.175 Å, c = 4.055 Å
α = 90.00°, β = 90.00°, γ = 90.00°
Atoms (fractional coordinates):
Cr 0.500 0.000 0.500
Cu 0.000 0.500 0.500
Cd 0.000 0.000 0.000
Cd 0.500 0.500 0.000

**Volume**: 17.67 Å³ per atom
**ΔE_f**: 113 kJ/mol of formula units


A relaxed CrCd2Cu crystal. Source: Alexandria, functional GGA-PBE.

a = 4.623 Å, b = 4.623 Å, c = 4.623 Å
α = 60.00°, β = 60.00°, γ = 60.00°
Atoms (fractional coordinates):
Cu 0.500 0.500 0.500
Cd 0.250 0.250 0.250
Cd 0.750 0.750 0.750
Cr 0.000 0.000 0.000

**Volume**: 17.47 Å³ per atom
**ΔE_f**: 110 kJ/mol of formula units


A relaxed CrCd2Cu crystal. Source: Alexandria, functional GGA-PBE.

a = 9.367 Å, b = 9.367 Å, c = 9.367 Å
α = 18.42°, β = 18.42°, γ = 18.42°
Atoms (fractional coordinates):
Cd 0.003 0.003 0.003
Cd 0.497 0.497 0.497
Cu 0.750 0.750 0.750
Cr 0.250 0.250 0.250

**Volume**: 17.91 Å³ per atom
**ΔE_f**: 151 kJ/mol of formula units